[1]
A crystal of CoS relaxed with PBEsol, computed with meta-GGA SCAN.

Structure (POSCAR):
```
CoS
1.0
3.549 0.000 0.000
0.000 3.549 0.000
0.000 0.000 4.817
S Co
2 2
Direct
0.000 0.500 0.747
0.500 0.000 0.253
0.500 0.500 0.000
0.000 0.000 0.000
```

Calculated values
E_tot: -55.26 eV for the cell shown
symmetry: No. 129

---

[2]
A crystal of Co3S4 relaxed with PBEsol, computed with meta-GGA SCAN.

Structure (POSCAR):
```
Co3S4
1.0
6.466 0.000 0.000
3.233 5.600 0.000
3.233 1.867 5.279
Co S
6 8
Direct
0.750 0.750 0.750
0.625 0.125 0.125
0.125 0.625 0.125
0.500 0.500 0.500
0.125 0.125 0.125
0.125 0.125 0.625
0.368 0.896 0.368
0.368 0.368 0.896
0.882 0.354 0.882
0.354 0.882 0.882
0.896 0.368 0.368
0.368 0.368 0.368
0.882 0.882 0.882
0.882 0.882 0.354
```

Calculated values
E_tot: -187.50 eV for the cell shown
symmetry: No. 227

---

[3]
A crystal of Co2Sb2S relaxed with PBEsol, computed with meta-GGA SCAN.

Structure (POSCAR):
```
Co2Sb2S
1.0
4.246 0.000 0.000
0.000 4.246 0.000
-2.123 -2.123 5.015
Co S Sb
2 1 2
Direct
0.387 0.387 0.775
0.613 0.613 0.225
0.000 0.000 0.000
0.250 0.750 0.500
0.750 0.250 0.500
```

Calculated values
energy relative to the lowest polymorph listed for this composition: 240 meV/atom
E_tot: -115.61 eV for the cell shown
symmetry: No. 139

---

[4]
A crystal of CoSbS2 relaxed with PBEsol, computed with meta-GGA SCAN.

Structure (POSCAR):
```
CoSbS2
1.0
-0.766 1.993 -2.561
-3.065 1.287 -0.252
0.932 7.148 3.114
S Co Sb
2 1 1
Direct
0.118 0.118 0.645
0.882 0.882 0.355
0.500 0.500 0.500
0.000 0.000 0.000
```

Calculated values
E_tot: -75.35 eV for the cell shown
symmetry: No. 166

---

[5]
A crystal of CoSb2S relaxed with PBEsol, computed with meta-GGA SCAN.

Structure (POSCAR):
```
CoSb2S
1.0
5.815 0.000 0.000
0.000 5.815 0.000
-2.907 -2.907 5.805
Sb S Co
4 2 2
Direct
0.625 0.678 0.750
0.928 0.375 0.250
0.125 0.072 0.750
0.322 0.875 0.250
0.750 0.250 0.500
0.500 0.500 0.000
0.000 0.000 0.000
0.250 0.750 0.500
```

Calculated values
E_tot: -200.94 eV for the cell shown
symmetry: No. 122

---

[6]
A crystal of CoSbS2 relaxed with PBEsol, computed with meta-GGA SCAN.

Structure (POSCAR):
```
CoSbS2
1.0
3.843 0.000 0.000
1.921 3.328 0.000
1.921 1.109 7.265
Co S Sb
1 2 1
Direct
0.000 0.000 0.000
0.096 0.096 0.713
0.904 0.904 0.287
0.500 0.500 0.500
```

Calculated values
E_tot: -73.44 eV for the cell shown
symmetry: No. 166

---

[7]
A crystal of Co2Sb2S relaxed with PBEsol, computed with meta-GGA SCAN.

Structure (POSCAR):
```
Co2Sb2S
1.0
-1.937 0.140 2.716
5.541 -0.878 3.996
0.881 6.826 0.277
Co Sb S
4 4 2
Direct
0.000 0.134 0.366
0.000 0.634 0.134
0.000 0.366 0.866
0.000 0.866 0.634
0.500 0.841 0.341
0.500 0.159 0.659
0.500 0.659 0.841
0.500 0.341 0.159
0.000 0.000 0.000
0.000 0.500 0.500
```

Calculated values
energy relative to the lowest polymorph listed for this composition: 0 meV/atom
E_tot: -233.62 eV for the cell shown
symmetry: No. 127

---

[8]
A crystal of TaCo2SbS relaxed with PBEsol, computed with meta-GGA SCAN.

Structure (POSCAR):
```
TaCo2SbS
1.0
-2.586 3.261 -1.469
-1.937 0.248 3.958
3.670 3.617 1.569
Ta Sb Co S
1 1 2 1
Direct
0.000 0.000 0.000
0.000 0.000 0.500
0.500 0.000 0.000
0.000 0.500 0.000
0.500 0.500 0.500
```

Calculated values
E_tot: -140.83 eV for the cell shown
symmetry: No. 123